The following is a DFT calculation (PBE with a Hubbard U) of a relaxed structure of Li3V2P3O12.

The calculation puts the total energy at -0.260 hartree per atom. The energy relative to the lowest polymorph listed for this composition comes out at 28.8 meV/atom.

Cell: 8.5356 8.5356 8.6297 Å, 61.51 61.51 62.92°
Atoms (fractional coordinates):
Li 0.7654 0.8346 0.6357
Li 0.8346 0.7654 0.1357
Li 0.0000 0.5000 0.5000
Li 0.1654 0.2346 0.8643
Li 0.5000 0.0000 0.0000
Li 0.2346 0.1654 0.3643
V 0.3653 0.8548 0.8524
V 0.8548 0.3653 0.3524
V 0.1452 0.6347 0.6476
V 0.6347 0.1452 0.1476
P 0.7448 0.5564 0.9656
P 0.0424 0.9576 0.2500
P 0.5564 0.7448 0.4656
P 0.4436 0.2552 0.5344
P 0.9576 0.0424 0.7500
P 0.2552 0.4436 0.0344
O 0.8746 0.9834 0.2069
O 0.9834 0.8746 0.7069
O 0.9003 0.5619 0.7695
O 0.5943 0.7504 0.9303
O 0.8143 0.5480 0.1066
O 0.6790 0.3896 0.0356
O 0.2265 0.9454 0.0800
O 0.5619 0.9003 0.2695
O 0.7504 0.5943 0.4303
O 0.5480 0.8143 0.6066
O 0.3896 0.6790 0.5356
O 0.9454 0.2265 0.5800
O 0.0546 0.7735 0.4200
O 0.6104 0.3210 0.4644
O 0.4520 0.1857 0.3934
O 0.2496 0.4057 0.5697
O 0.4381 0.0997 0.7305
O 0.7735 0.0546 0.9200
O 0.3210 0.6104 0.9644
O 0.1857 0.4520 0.8934
O 0.4057 0.2496 0.0697
O 0.0997 0.4381 0.2305
O 0.0166 0.1254 0.2931
O 0.1254 0.0166 0.7931